GaFeNi3: optimized geometry, PBE.

a b c (Å): 4.166 5.155 5.986
angles (deg): 90.00 110.31 90.00
Each line ends with the local moment (μB).
Sites, in units of the cell vectors:
Ga (0.995, 0.750, 0.991)  -0.05
Ga (0.005, 0.250, 0.009)  -0.05
Fe (0.625, 0.750, 0.250)  2.77
Fe (0.375, 0.250, 0.750)  2.77
Ni (0.187, 0.504, 0.374)  0.44
Ni (0.813, 0.004, 0.626)  0.44
Ni (0.813, 0.496, 0.626)  0.44
Ni (0.187, 0.996, 0.374)  0.44
Ni (0.619, 0.250, 0.237)  0.41
Ni (0.381, 0.750, 0.763)  0.41

- space group = Cmcm
- electronic total energy (eV per atom) = -5.832
- crystal system = orthorhombic
- calculated volume (A^3/atom) = 12.06